Entry 1:
Rb2HgCBr6: optimized geometry, PBE.

Unit cell a=7.535 b=7.535 c=7.535 alpha=120.11 beta=120.11 gamma=89.81
Fractional positions:
1 Rb 0.250 0.750 0.500
2 Rb 0.750 0.250 0.500
3 Hg 0.000 0.000 0.000
4 C 0.500 0.500 0.000
5 Br 0.266 0.266 0.000
6 Br 0.266 0.266 0.532
7 Br 0.266 0.734 0.000
8 Br 0.734 0.266 0.000
9 Br 0.734 0.734 0.000
10 Br 0.734 0.734 0.468

Summary:
Formation energy without anion corrections   -0.3561 eV per atom

Entry 2:
HgRuC2Br: optimized geometry, PBE.

Unit cell a=3.986 b=3.986 c=5.717 alpha=90.00 beta=90.00 gamma=90.00
Fractional positions:
1 Hg 0.000 0.000 0.000
2 Ru 0.500 0.500 0.500
3 C 0.000 0.500 0.500
4 C 0.500 0.000 0.500
5 Br 0.500 0.500 0.000

Summary:
Formation energy without anion corrections   1.3703 eV per atom

The calculation returns the following N(E_F) values, one per record and in order: 0.21, 2.72 states/eV/f.u..
The calculation returns the following electronic total energy values, one per record and in order: -25.060, -22.847 eV per formula unit.